# 1
# AlCoRe3

A relaxed structure of AlCoRe3 (PBEsol, Alexandria).

a = 4.355 Å, b = 4.355 Å, c = 4.355 Å
α = 90.00°, β = 90.00°, γ = 90.00°
Atoms (fractional coordinates):
Re1 0.000 0.500 0.000
Re2 0.000 0.000 0.500
Re3 0.500 0.000 0.000
Co1 0.000 0.000 0.000
Al1 0.500 0.500 0.500

Electronic total energy, eV per atom: -8.8275
Calculated density, g cm⁻³: 13.0
Space group: Pm-3m (221)
Formation energy from the elements, eV per atom: 1.537

# 2
# AlCo2Re

A relaxed structure of AlCo2Re (PBEsol, Alexandria).

a = 2.637 Å, b = 3.582 Å, c = 5.128 Å
α = 90.00°, β = 90.00°, γ = 90.00°
Atoms (fractional coordinates):
Re1 0.000 0.000 0.470
Co1 0.000 0.000 0.989
Co2 0.500 0.500 0.260
Al1 0.500 0.500 0.781

Electronic total energy, eV per atom: -8.2949
Calculated density, g cm⁻³: 11.4
Space group: Pmm2 (25)
Formation energy from the elements, eV per atom: -0.070

# 3
# Al2CoRe

A relaxed structure of Al2CoRe (PBEsol, Alexandria).

a = 2.712 Å, b = 4.455 Å, c = 4.895 Å
α = 111.02°, β = 106.08°, γ = 90.00°
Atoms (fractional coordinates):
Re1 0.230 0.802 0.461
Co1 0.508 0.425 0.017
Al1 0.990 0.946 0.979
Al2 0.772 0.327 0.543

Electronic total energy, eV per atom: -7.5812
Calculated density, g cm⁻³: 9.4
Space group: Cm (8)
Formation energy from the elements, eV per atom: -0.268

# 4
# Al2ZnCoRe

A relaxed structure of Al2ZnCoRe (PBEsol, Alexandria).

a = 4.110 Å, b = 4.353 Å, c = 4.353 Å
α = 90.00°, β = 90.00°, γ = 90.00°
Atoms (fractional coordinates):
Re1 0.500 0.500 0.500
Zn1 0.000 0.000 0.000
Co1 0.500 0.000 0.000
Al1 0.000 0.000 0.500
Al2 0.000 0.500 0.000

Electronic total energy, eV per atom: -4.9221
Calculated density, g cm⁻³: 7.8
Space group: P4/mmm (123)
Formation energy from the elements, eV per atom: 1.245

# 5
# Al2CoRh

A relaxed structure of Al2CoRh (PBEsol, Alexandria).

a = 2.906 Å, b = 2.906 Å, c = 5.772 Å
α = 90.00°, β = 90.00°, γ = 90.00°
Atoms (fractional coordinates):
Rh1 0.500 0.500 0.500
Co1 0.500 0.500 0.000
Al1 0.000 0.000 0.763
Al2 0.000 0.000 0.237

Electronic total energy, eV per atom: -6.8597
Calculated density, g cm⁻³: 7.4
Space group: P4/mmm (123)
Formation energy from the elements, eV per atom: -0.845

# 6
# Al2CoRh

A relaxed structure of Al2CoRh (PBEsol, Alexandria).

a = 5.265 Å, b = 5.265 Å, c = 5.265 Å
α = 105.53°, β = 105.53°, γ = 117.68°
Atoms (fractional coordinates):
Co1 0.500 0.500 0.000
Co2 0.750 0.250 0.500
Rh1 0.000 0.000 0.000
Rh2 0.250 0.750 0.500
Al1 0.860 0.875 0.485
Al2 0.390 0.375 0.515
Al3 0.125 0.610 0.985
Al4 0.625 0.140 0.015

Electronic total energy, eV per atom: -6.0969
Calculated density, g cm⁻³: 6.5
Space group: I-42d (122)
Formation energy from the elements, eV per atom: -0.082

# 7
# Al3CoRh

A relaxed structure of Al3CoRh (PBEsol, Alexandria).

a = 4.283 Å, b = 4.283 Å, c = 4.283 Å
α = 90.00°, β = 90.00°, γ = 90.00°
Atoms (fractional coordinates):
Co1 0.000 0.000 0.000
Rh1 0.500 0.500 0.500
Al1 0.000 0.500 0.000
Al2 0.000 0.000 0.500
Al3 0.500 0.000 0.000

Electronic total energy, eV per atom: -5.5161
Calculated density, g cm⁻³: 5.1
Space group: Pm-3m (221)
Formation energy from the elements, eV per atom: 0.114

# 8
# AlCoRh2

A relaxed structure of AlCoRh2 (PBEsol, Alexandria).

a = 2.848 Å, b = 4.375 Å, c = 4.891 Å
α = 116.57°, β = 106.93°, γ = 90.00°
Atoms (fractional coordinates):
Co1 0.000 0.500 0.000
Rh1 0.760 0.760 0.519
Rh2 0.240 0.240 0.481
Al1 0.500 0.000 0.000

Electronic total energy, eV per atom: -7.2869
Calculated density, g cm⁻³: 9.4
Space group: Immm (71)
Formation energy from the elements, eV per atom: -0.261

Please write out number 5 again, unchanged.
# Al2CoRh

A relaxed structure of Al2CoRh (PBEsol, Alexandria).

a = 2.906 Å, b = 2.906 Å, c = 5.772 Å
α = 90.00°, β = 90.00°, γ = 90.00°
Atoms (fractional coordinates):
Rh1 0.500 0.500 0.500
Co1 0.500 0.500 0.000
Al1 0.000 0.000 0.763
Al2 0.000 0.000 0.237

Electronic total energy, eV per atom: -6.8597
Calculated density, g cm⁻³: 7.4
Space group: P4/mmm (123)
Formation energy from the elements, eV per atom: -0.845